(1)
Material: BaCdSi2
Method: DFT, PBE-GGA
State: relaxed

Cell: 5.558 3.423 6.055 Å, 90.00 114.27 90.00°
Positions (direct):
Ba (0.000, 0.000, 0.000)
Cd (0.000, 0.500, 0.500)
Si (0.500, 0.000, 0.500)
Si (0.500, 0.500, 0.000)

Summary:
**Space group**: No. 10
**V**: 26.3 Å³ per atom
**Raw formation energy**: 0.43 eV/atom
**DFT total energy**: -2.994 eV per atom

=====

(2)
Material: SmSn6Rh
Method: DFT, PBE-GGA
State: relaxed

Cell: 6.282 6.282 6.572 Å, 102.99 102.99 117.79°
Positions (direct):
Sm (0.000, 0.000, 0.000)
Sn (0.085, 0.631, 0.253)
Sn (0.369, 0.915, 0.747)
Sn (0.449, 0.449, 0.711)
Sn (0.551, 0.551, 0.289)
Sn (0.631, 0.085, 0.253)
Sn (0.915, 0.369, 0.747)
Rh (0.000, 0.000, 0.500)

Summary:
**Space group**: No. 12
**V**: 25.8 Å³ per atom
**E_form**: -0.2323 eV per atom
**DFT total energy**: -4.743 eV per atom

=====

(3)
Material: MnZn2Pt
Method: DFT, PBE-GGA
State: relaxed

Cell: 8.903 8.903 8.903 Å, 18.05 18.05 18.05°
Positions (direct):
Mn (0.000, 0.000, 0.000)
Zn (0.253, 0.253, 0.253)
Zn (0.499, 0.499, 0.499)
Pt (0.749, 0.749, 0.749)

Summary:
**Space group**: No. 160
**V**: 14.8 Å³ per atom
**E_form**: -0.1016 eV per atom
**DFT total energy**: -4.541 eV per atom

=====

(4)
Material: KPrSe2O8
Method: DFT, PBE-GGA
State: relaxed

Cell: 9.028 7.493 11.240 Å, 90.00 91.69 90.00°
Positions (direct):
K (0.063, 0.146, 0.343)
K (0.063, 0.354, 0.843)
K (0.937, 0.646, 0.157)
K (0.937, 0.854, 0.657)
Pr (0.444, 0.666, 0.652)
Pr (0.444, 0.834, 0.152)
Pr (0.556, 0.166, 0.848)
Pr (0.556, 0.334, 0.348)
Se (0.222, 0.658, 0.410)
Se (0.222, 0.842, 0.910)
Se (0.313, 0.164, 0.608)
Se (0.313, 0.336, 0.108)
Se (0.687, 0.664, 0.892)
Se (0.687, 0.836, 0.392)
Se (0.778, 0.158, 0.090)
Se (0.778, 0.342, 0.590)
O (0.092, 0.520, 0.363)
O (0.092, 0.980, 0.863)
O (0.132, 0.148, 0.602)
O (0.132, 0.352, 0.102)
O (0.197, 0.747, 0.044)
O (0.197, 0.753, 0.544)
O (0.254, 0.682, 0.809)
O (0.254, 0.818, 0.309)
O (0.366, 0.160, 0.195)
O (0.366, 0.340, 0.695)
O (0.379, 0.168, 0.471)
O (0.379, 0.332, 0.971)
O (0.383, 0.549, 0.445)
O (0.383, 0.951, 0.945)
O (0.401, 0.501, 0.187)
O (0.401, 0.999, 0.687)
O (0.599, 0.001, 0.313)
O (0.599, 0.499, 0.813)
O (0.617, 0.049, 0.055)
O (0.617, 0.451, 0.555)
O (0.621, 0.668, 0.029)
O (0.621, 0.832, 0.529)
O (0.634, 0.660, 0.305)
O (0.634, 0.840, 0.805)
O (0.746, 0.182, 0.691)
O (0.746, 0.318, 0.191)
O (0.803, 0.247, 0.456)
O (0.803, 0.253, 0.956)
O (0.868, 0.648, 0.898)
O (0.868, 0.852, 0.398)
O (0.908, 0.020, 0.137)
O (0.908, 0.480, 0.637)

Summary:
**Space group**: No. 14
**V**: 15.8 Å³ per atom
**Energy relative to the lowest polymorph listed for this composition**: 0.000 eV per atom
**Raw formation energy**: -1.54 eV/atom
**DFT total energy**: -5.920 eV per atom

=====

(5)
Material: ZrRe2Te
Method: DFT, PBE-GGA
State: relaxed

Cell: 3.053 3.977 6.424 Å, 90.00 90.00 90.00°
Positions (direct):
Zr (0.000, 0.000, 0.000)
Re (0.000, 0.000, 0.404)
Re (0.500, 0.500, 0.262)
Te (0.500, 0.500, 0.709)

Summary:
**Space group**: No. 25
**V**: 19.5 Å³ per atom
**Raw formation energy**: 0.25 eV/atom
**DFT total energy**: -8.893 eV per atom

=====

(6)
Material: Sm3Dy5In2
Method: DFT, PBE-GGA
State: relaxed

Cell: 10.596 10.596 10.596 Å, 105.53 85.13 144.79°
Positions (direct):
Sm (0.237, 0.115, 0.352)
Sm (0.250, 0.250, 0.000)
Sm (0.263, 0.615, 0.878)
Sm (0.737, 0.385, 0.122)
Sm (0.750, 0.750, 0.000)
Sm (0.763, 0.885, 0.648)
Dy (0.163, 0.375, 0.539)
Dy (0.250, 0.502, 0.252)
Dy (0.250, 0.750, 0.500)
Dy (0.250, 0.998, 0.748)
Dy (0.337, 0.875, 0.212)
Dy (0.663, 0.125, 0.788)
Dy (0.750, 0.002, 0.252)
Dy (0.750, 0.250, 0.500)
Dy (0.750, 0.498, 0.748)
Dy (0.837, 0.625, 0.461)
In (0.147, 0.864, 0.011)
In (0.353, 0.364, 0.717)
In (0.647, 0.636, 0.283)
In (0.853, 0.136, 0.989)

Summary:
**Space group**: No. 72
**V**: 32.1 Å³ per atom
**E_form**: 0.0653 eV per atom
**DFT total energy**: -4.199 eV per atom

=====

(7)
Material: LiMnCuTe2
Method: DFT, PBE-GGA
State: relaxed

Cell: 5.188 5.188 4.755 Å, 90.00 90.00 90.00°
Positions (direct):
Li (0.000, 0.000, 0.000)
Mn (0.500, 0.500, 0.500)
Cu (0.500, 0.500, 0.000)
Te (0.000, 0.500, 0.500)
Te (0.500, 0.000, 0.500)

Summary:
**Space group**: No. 123
**V**: 25.6 Å³ per atom
**Raw formation energy**: 0.14 eV/atom
**DFT total energy**: -4.151 eV per atom

=====

(8)
Material: ScCl2
Method: DFT, PBE-GGA
State: relaxed

Cell: 3.520 3.520 13.950 Å, 90.00 90.00 120.00°
Positions (direct):
Sc (0.000, 0.000, 0.250)
Sc (0.000, 0.000, 0.750)
Cl (0.333, 0.667, 0.133)
Cl (0.333, 0.667, 0.367)
Cl (0.667, 0.333, 0.633)
Cl (0.667, 0.333, 0.867)

Summary:
**Space group**: No. 194
**V**: 25.0 Å³ per atom
**Raw formation energy**: -1.90 eV/atom
**DFT total energy**: -5.238 eV per atom

=====

The lowest DFT total energy belongs to which entry?
ZrRe2Te

=====

The highest DFT total energy belongs to which entry?
BaCdSi2

=====

Among the records above, which one has the highest V?
Sm3Dy5In2

=====

Copy entry 6 word for word.
Material: Sm3Dy5In2
Method: DFT, PBE-GGA
State: relaxed

Cell: 10.596 10.596 10.596 Å, 105.53 85.13 144.79°
Positions (direct):
Sm (0.237, 0.115, 0.352)
Sm (0.250, 0.250, 0.000)
Sm (0.263, 0.615, 0.878)
Sm (0.737, 0.385, 0.122)
Sm (0.750, 0.750, 0.000)
Sm (0.763, 0.885, 0.648)
Dy (0.163, 0.375, 0.539)
Dy (0.250, 0.502, 0.252)
Dy (0.250, 0.750, 0.500)
Dy (0.250, 0.998, 0.748)
Dy (0.337, 0.875, 0.212)
Dy (0.663, 0.125, 0.788)
Dy (0.750, 0.002, 0.252)
Dy (0.750, 0.250, 0.500)
Dy (0.750, 0.498, 0.748)
Dy (0.837, 0.625, 0.461)
In (0.147, 0.864, 0.011)
In (0.353, 0.364, 0.717)
In (0.647, 0.636, 0.283)
In (0.853, 0.136, 0.989)

Summary:
**Space group**: No. 72
**V**: 32.1 Å³ per atom
**E_form**: 0.0653 eV per atom
**DFT total energy**: -4.199 eV per atom